A relaxed structure of K2LiIrCl6, computed with PBE-GGA.

## Properties
Magnetization ... 0.01 μB/cell
Energy ... -3.71 eV per atom
Density ... 3.47 g/cm³
Symmetry ... Fm-3m

Cell lengths 6.919, 6.919, 6.919 Å; angles 60.00, 60.00, 60.00 degrees
Element x y z (fractional)
Cl (0.759, 0.759, 0.241)
Cl (0.759, 0.241, 0.759)
Cl (0.759, 0.241, 0.241)
Cl (0.241, 0.759, 0.759)
Cl (0.241, 0.241, 0.759)
Cl (0.241, 0.759, 0.241)
Li (0.500, 0.500, 0.500)
K (0.250, 0.250, 0.250)
K (0.750, 0.750, 0.750)
Ir (0.000, 0.000, 0.000)